1.
Below is a relaxed SmEr2SbN4 crystal, with properties calculated at the PBE level.

Cell lengths 6.8839, 6.8839, 11.4068 Å; angles 90.00, 90.00, 152.24 degrees
Closest atoms and distances in Å follow each position.
Fractional positions:
Sm1 0.2381 0.7619 0.7500  6 N 2.42-2.57
Sm2 0.7619 0.2381 0.2500  6 N 2.42-2.57
Er1 0.3685 0.6315 0.0036  5 N 2.34-2.41
Er2 0.3685 0.6315 0.4964  5 N 2.34-2.41
Er3 0.6315 0.3685 0.5036  5 N 2.34-2.41
Er4 0.6315 0.3685 0.9964  5 N 2.34-2.41
Sb1 0.0138 0.9862 0.2500  2 N 2.16
Sb2 0.9862 0.0138 0.7500  2 N 2.16
N1 0.0000 0.0000 0.0000  4 Er 2.41
N2 0.0000 0.0000 0.5000  4 Er 2.41
N3 0.2120 0.7880 0.1063  3 Er 2.34-2.40, 2 Sm 2.42
N4 0.2120 0.7880 0.3937  3 Er 2.34-2.40, 2 Sm 2.42
N5 0.4094 0.5906 0.2500  2 Sb 2.16
N6 0.5906 0.4094 0.7500  2 Sb 2.16
N7 0.7880 0.2120 0.6063  3 Er 2.34-2.40, 2 Sm 2.42
N8 0.7880 0.2120 0.8937  3 Er 2.34-2.40, 2 Sm 2.42

Space-group type: Cmcm, No. 63

2.
Below is a relaxed Tb2ErSbN4 crystal, with properties calculated at the PBE level.

Cell lengths 6.0370, 3.4840, 6.0594 Å; angles 90.00, 109.33, 90.00 degrees
Closest atoms and distances in Å follow each position.
Fractional positions:
Tb1 0.0000 0.0000 0.0000  6 N 2.48
Tb2 0.0000 0.5000 0.5000  6 N 2.41-2.42
Er1 0.5000 0.0000 0.5000  6 N 2.45
Sb1 0.5000 0.5000 0.0000  6 N 2.52
N1 0.2404 0.0000 0.7371  3 Tb 2.41-2.48, 1 Er 2.45, 2 Sb 2.52
N2 0.2479 0.5000 0.2579  3 Tb 2.42-2.48, 2 Er 2.45, 1 Sb 2.52
N3 0.7521 0.5000 0.7421  3 Tb 2.42-2.48, 2 Er 2.45, 1 Sb 2.52
N4 0.7596 0.0000 0.2629  3 Tb 2.41-2.48, 1 Er 2.45, 2 Sb 2.52

Space-group type: P2/m, No. 10

3.
Below is a relaxed ErTh2SbN5 crystal, with properties calculated at the PBE level.

Cell lengths 7.3265, 7.3265, 10.8169 Å; angles 90.00, 90.00, 151.61 degrees
Closest atoms and distances in Å follow each position.
Fractional positions:
Er1 0.2155 0.7845 0.5000  6 N 2.24-2.48
Er2 0.7845 0.2155 0.0000  6 N 2.24-2.48
Th1 0.1261 0.8739 0.2027  3 N 2.33-2.60
Th2 0.1401 0.8599 0.7804  6 N 2.41-2.64
Th3 0.8599 0.1401 0.2804  6 N 2.41-2.64
Th4 0.8739 0.1261 0.7027  3 N 2.33-2.60
Sb1 0.4862 0.5138 0.9821  4 N 2.06-2.09
Sb2 0.5138 0.4862 0.4821  4 N 2.06-2.09
N1 0.0511 0.9489 0.5666  2 Sb 2.08
N2 0.2865 0.7135 0.1578  3 Th 2.33-2.46, 2 Er 2.48
N3 0.3009 0.6991 0.8526  2 Er 2.41, 3 Th 2.41-2.63
N4 0.3714 0.6286 0.5291  1 Sb 2.09, 1 Er 2.24
N5 0.4899 0.5101 0.2938  1 Sb 2.06
N6 0.5101 0.4899 0.7938  1 Sb 2.06
N7 0.6286 0.3714 0.0291  1 Sb 2.09, 1 Er 2.24
N8 0.6991 0.3009 0.3526  2 Er 2.41, 3 Th 2.41-2.63
N9 0.7135 0.2865 0.6578  3 Th 2.33-2.46, 2 Er 2.48
N10 0.9489 0.0511 0.0666  2 Sb 2.08

Space-group type: Cmc2_1, No. 36

4.
Below is a relaxed ErUSbN2 crystal, with properties calculated at the PBE level.

Cell lengths 3.8982, 3.8982, 12.2002 Å; angles 90.00, 90.00, 90.00 degrees
Closest atoms and distances in Å follow each position.
Fractional positions:
Er1 0.0000 0.0000 0.0000  4 N 2.29
Er2 0.5000 0.5000 0.5000  4 N 2.29
U1 0.0000 0.0000 0.3258  4 N 2.16
U2 0.5000 0.5000 0.8258  4 N 2.16
Sb1 0.0000 0.0000 0.6662  4 U 3.38, 4 Er 3.42, 8 N 3.47-3.77
Sb2 0.5000 0.5000 0.1662  4 U 3.38, 4 Er 3.42, 8 N 3.47-3.77
N1 0.0000 0.5000 0.4014  2 U 2.16, 2 Er 2.29
N2 0.0000 0.5000 0.9014  2 U 2.16, 2 Er 2.29
N3 0.5000 0.0000 0.4014  2 U 2.16, 2 Er 2.29
N4 0.5000 0.0000 0.9014  2 U 2.16, 2 Er 2.29

Space-group type: I4mm, No. 107

5.
Below is a relaxed Y2ErSbN4 crystal, with properties calculated at the PBE level.

Cell lengths 6.0251, 3.4743, 6.0404 Å; angles 90.00, 109.31, 90.00 degrees
Closest atoms and distances in Å follow each position.
Fractional positions:
Y1 0.0000 0.0000 0.0000  6 N 2.48
Y2 0.0000 0.5000 0.5000  6 N 2.41
Er1 0.5000 0.0000 0.5000  6 N 2.45
Sb1 0.5000 0.5000 0.0000  6 N 2.51-2.52
N1 0.2402 0.0000 0.7373  3 Y 2.41-2.48, 1 Er 2.45, 2 Sb 2.52
N2 0.2475 0.5000 0.2574  3 Y 2.41-2.48, 2 Er 2.45, 1 Sb 2.51
N3 0.7525 0.5000 0.7426  3 Y 2.41-2.48, 2 Er 2.45, 1 Sb 2.51
N4 0.7598 0.0000 0.2627  3 Y 2.41-2.48, 1 Er 2.45, 2 Sb 2.52

Space-group type: P2/m, No. 10

6.
Below is a relaxed Er3ScN4 crystal, with properties calculated at the PBE level.

Cell lengths 5.8420, 6.7533, 5.8430 Å; angles 90.00, 109.47, 90.00 degrees
Closest atoms and distances in Å follow each position.
Fractional positions:
Er1 0.0000 0.1231 0.2500  6 N 2.37-2.43
Er2 0.0000 0.3726 0.7500  6 N 2.38-2.43
Er3 0.0000 0.6274 0.2500  6 N 2.38-2.43
Er4 0.0000 0.8769 0.7500  6 N 2.37-2.43
Er5 0.5000 0.3728 0.2500  6 N 2.38-2.40
Er6 0.5000 0.6272 0.7500  6 N 2.38-2.40
Sc1 0.5000 0.1218 0.7500  6 N 2.33-2.37
Sc2 0.5000 0.8782 0.2500  6 N 2.33-2.37
N1 0.2522 0.3708 0.5043  1 Sc 2.37, 5 Er 2.38-2.43
N2 0.2522 0.6292 0.0043  1 Sc 2.37, 5 Er 2.38-2.43
N3 0.2587 0.1199 0.9992  2 Sc 2.33-2.34, 4 Er 2.37-2.43
N4 0.2587 0.8801 0.4992  2 Sc 2.33-2.34, 4 Er 2.37-2.43
N5 0.7413 0.1199 0.5008  2 Sc 2.33-2.34, 4 Er 2.37-2.43
N6 0.7413 0.8801 0.0008  2 Sc 2.33-2.34, 4 Er 2.37-2.43
N7 0.7478 0.3708 0.9957  1 Sc 2.37, 5 Er 2.38-2.43
N8 0.7478 0.6292 0.4957  1 Sc 2.37, 5 Er 2.38-2.43

Relative energy among the computed polymorphs: 0.000 eV per atom
Space-group type: P2/c, No. 13

Across the entries above, calculated volume takes the values 15.73; 15.03; 15.34; 18.54; 14.92; 13.58 A^3/atom, respectively.
Across the entries above, formation energy (no corrections) takes the values -0.8621; -1.0588; -0.9796; -1.3356; -1.0681; -1.7871 eV per atom, respectively.